(1)
Tb4Nd4Tm5 | PBE | optimized geometry

Unit cell a=5.0377 b=9.4531 c=9.4531 alpha=85.93 beta=74.55 gamma=74.55
Closest atoms and distances in Å follow each position.
Fractional positions:
Tb  0.7715  0.3811  0.0758  4 Nd 3.53-3.58, 6 Tm 3.54-3.63, 2 Tb 3.60
Tb  0.2285  0.6189  0.9242  4 Nd 3.53-3.58, 6 Tm 3.54-3.63, 2 Tb 3.60
Tb  0.8474  0.9242  0.3811  4 Nd 3.53-3.58, 6 Tm 3.54-3.63, 2 Tb 3.60
Tb  0.1526  0.0758  0.6189  4 Nd 3.53-3.58, 6 Tm 3.54-3.63, 2 Tb 3.60
Nd  0.9210  0.4613  0.6966  4 Tb 3.53-3.58, 3 Tm 3.58-3.61, 5 Nd 3.61-3.65
Nd  0.6177  0.3034  0.4613  4 Tb 3.53-3.58, 3 Tm 3.58-3.61, 5 Nd 3.61-3.65
Nd  0.0790  0.5387  0.3034  4 Tb 3.53-3.58, 3 Tm 3.58-3.61, 5 Nd 3.61-3.65
Nd  0.3823  0.6966  0.5387  4 Tb 3.53-3.58, 3 Tm 3.58-3.61, 5 Nd 3.61-3.65
Tm  0.6887  0.8501  0.7725  4 Tm 3.51-3.54, 5 Tb 3.54-3.63, 3 Nd 3.58-3.61
Tm  0.3113  0.1499  0.2275  4 Tm 3.51-3.54, 5 Tb 3.54-3.63, 3 Nd 3.58-3.61
Tm  0.0000  0.0000  0.0000  8 Tm 3.54, 4 Tb 3.54
Tm  0.5388  0.7725  0.1499  4 Tm 3.51-3.54, 5 Tb 3.54-3.63, 3 Nd 3.58-3.61
Tm  0.4612  0.2275  0.8501  4 Tm 3.51-3.54, 5 Tb 3.54-3.63, 3 Nd 3.58-3.61

* total magnetic moment: 0.000 μB per atom
* energy of formation: 0.022 eV per atom



(2)
Tb4NdTm10 | PBE | optimized geometry

Unit cell a=10.6920 b=8.7084 c=8.7084 alpha=67.86 beta=52.13 gamma=52.13
Closest atoms and distances in Å follow each position.
Fractional positions:
Tb  0.5544  0.6558  0.2355  6 Tm 3.41-3.67
Tb  0.7899  0.7645  0.6558  6 Tm 3.41-3.67
Tb  0.2101  0.2355  0.3442  6 Tm 3.41-3.67
Tb  0.4456  0.3442  0.7645  6 Tm 3.41-3.67
Nd  0.0000  0.0000  0.0000  8 Tm 3.03
Tm  0.2500  0.5000  0.5000  4 Tm 3.10, 4 Tb 3.41
Tm  0.7089  0.3408  0.9034  1 Nd 3.03, 2 Tm 3.09-3.10
Tm  0.9503  0.0966  0.3408  1 Nd 3.03, 2 Tm 3.09-3.10
Tm  0.3877  0.9034  0.6592  1 Nd 3.03, 2 Tm 3.09-3.10
Tm  0.9531  0.6592  0.0966  1 Nd 3.03, 2 Tm 3.09-3.10
Tm  0.2911  0.6592  0.0966  1 Nd 3.03, 2 Tm 3.09-3.10
Tm  0.7500  0.5000  0.5000  4 Tm 3.10, 4 Tb 3.41
Tm  0.0469  0.3408  0.9034  1 Nd 3.03, 2 Tm 3.09-3.10
Tm  0.6123  0.0966  0.3408  1 Nd 3.03, 2 Tm 3.09-3.10
Tm  0.0497  0.9034  0.6592  1 Nd 3.03, 2 Tm 3.09-3.10

* total magnetic moment: 0.000 μB per atom
* energy of formation: 0.482 eV per atom



(3)
Tb3NdTm3 | PBE | optimized geometry

Unit cell a=10.6188 b=17.3950 c=8.2355 alpha=119.27 beta=89.27 gamma=129.01
Closest atoms and distances in Å follow each position.
Fractional positions:
Tb  0.2432  0.7687  0.2248  5 Tm 3.25-3.56, 5 Tb 3.33-3.61
Tb  0.7568  0.5255  0.9815  5 Tm 3.25-3.56, 5 Tb 3.33-3.61
Tb  0.5684  0.5453  0.3396  3 Tb 3.24-3.54, 1 Nd 3.31, 3 Tm 3.31-3.40
Tb  0.4317  0.9769  0.7712  3 Tb 3.24-3.54, 1 Nd 3.31, 3 Tm 3.31-3.40
Tb  0.4945  0.2321  0.4799  3 Tm 3.31-3.46, 3 Tb 3.52-3.56
Tb  0.5054  0.7376  0.9854  3 Tm 3.31-3.46, 3 Tb 3.52-3.56
Tb  0.0000  0.7373  0.4931  4 Tb 3.24-3.33, 5 Tm 3.36-3.49, 2 Nd 3.46-3.52
Tb  0.2210  0.4855  0.4541  4 Tb 3.28-3.52, 6 Tm 3.43-3.61, 1 Nd 3.53
Tb  0.7790  0.2645  0.2331  4 Tb 3.28-3.52, 6 Tm 3.43-3.61, 1 Nd 3.53
Tb  0.2341  0.2364  0.7531  3 Tm 3.25-3.46, 2 Tb 3.48-3.56, 1 Nd 3.60
Tb  0.7659  0.0022  0.5190  3 Tm 3.25-3.46, 2 Tb 3.48-3.56, 1 Nd 3.60
Tb  0.0000  0.4720  0.7643  6 Tm 3.35-3.52, 4 Tb 3.44-3.47
Nd  0.0000  0.8067  0.9724  4 Tm 3.46-3.59, 1 Tb 3.52, 1 Nd 3.64
Nd  0.2396  0.2626  0.2153  3 Tb 3.31-3.60, 3 Tm 3.37-3.44, 2 Nd 3.40-3.56
Nd  0.7604  0.0230  0.9757  3 Tb 3.31-3.60, 3 Tm 3.36-3.44, 2 Nd 3.40-3.56
Nd  0.0000  0.9618  0.7961  3 Nd 3.40-3.64, 2 Tm 3.45, 1 Tb 3.46
Tm  0.4771  0.7472  0.4765  3 Tb 3.25-3.56, 4 Tm 3.35-3.55, 1 Nd 3.44
Tm  0.5228  0.2701  0.9993  3 Tb 3.25-3.56, 4 Tm 3.35-3.55, 1 Nd 3.44
Tm  0.0000  0.5164  0.2299  6 Tb 3.36-3.52, 6 Tm 3.43-3.55
Tm  0.2351  0.9944  0.5009  5 Tb 3.31-3.68, 3 Tm 3.44-3.57, 2 Nd 3.45-3.46
Tm  0.7649  0.7594  0.2659  5 Tb 3.31-3.68, 3 Tm 3.44-3.57, 2 Nd 3.45-3.46
Tm  0.7565  0.2221  0.7753  5 Tm 3.35-3.62, 4 Tb 3.38-3.45
Tm  0.2435  0.4655  0.0188  5 Tm 3.35-3.62, 4 Tb 3.38-3.45
Tm  0.5207  0.0173  0.2494  3 Tb 3.25-3.46, 1 Nd 3.36, 4 Tm 3.42-3.57
Tm  0.4793  0.4966  0.7286  3 Tb 3.25-3.46, 1 Nd 3.37, 4 Tm 3.42-3.57
Tm  0.0000  0.2522  0.5042  5 Tb 3.35-3.46, 4 Tm 3.35-3.57, 2 Nd 3.44
Tm  0.2316  0.7262  0.7621  6 Tb 3.31-3.61, 4 Tm 3.44-3.47, 1 Nd 3.59
Tm  0.7684  0.4946  0.5305  6 Tb 3.31-3.61, 4 Tm 3.44-3.47, 1 Nd 3.59

* total magnetic moment: 0.000 μB per atom
* energy of formation: 0.184 eV per atom



(4)
Tb2Nd4Tm | PBE | optimized geometry

Unit cell a=6.2350 b=6.6847 c=11.6441 alpha=90.00 beta=104.26 gamma=90.00
Closest atoms and distances in Å follow each position.
Fractional positions:
Tb  0.6086  0.7500  0.9934  6 Nd 3.39-3.70, 1 Tm 3.45, 2 Tb 3.62
Tb  0.3914  0.2500  0.0066  6 Nd 3.39-3.70, 1 Tm 3.45, 2 Tb 3.62
Tb  0.2869  0.2500  0.4218  9 Nd 3.42-3.70
Tb  0.7131  0.7500  0.5782  9 Nd 3.42-3.70
Nd  0.6464  0.5114  0.2846  4 Nd 3.19-3.50, 1 Tm 3.48, 1 Tb 3.52
Nd  0.0426  0.7500  0.8656  3 Tm 3.36-3.53, 3 Tb 3.39-3.48, 2 Nd 3.40
Nd  0.9574  0.2500  0.1344  3 Tm 3.36-3.53, 3 Tb 3.39-3.48, 2 Nd 3.40
Nd  0.6464  0.9886  0.2846  4 Nd 3.19-3.50, 1 Tm 3.48, 1 Tb 3.52
Nd  0.8482  0.2500  0.5495  1 Tm 3.34, 4 Tb 3.42-3.48, 4 Nd 3.50-3.63
Nd  0.3536  0.0114  0.7154  4 Nd 3.19-3.50, 1 Tm 3.48, 1 Tb 3.52
Nd  0.3536  0.4886  0.7154  4 Nd 3.19-3.50, 1 Tm 3.48, 1 Tb 3.52
Nd  0.1518  0.7500  0.4505  1 Tm 3.34, 4 Tb 3.42-3.48, 4 Nd 3.50-3.63
Tm  0.1464  0.7500  0.1630  6 Nd 3.34-3.53, 1 Tb 3.45
Tm  0.8536  0.2500  0.8370  6 Nd 3.34-3.53, 1 Tb 3.45

* total magnetic moment: 0.000 μB per atom
* energy of formation: 0.124 eV per atom



(5)
TbNdTm2 | PBE | optimized geometry

Unit cell a=7.2478 b=6.2732 c=12.9446 alpha=119.03 beta=90.00 gamma=90.00
Closest atoms and distances in Å follow each position.
Fractional positions:
Tb  0.5001  0.0407  0.3746  6 Tm 3.50-3.64, 4 Nd 3.50-3.63, 2 Tb 3.51-3.52
Tb  0.4999  0.9593  0.6254  6 Tm 3.50-3.64, 4 Nd 3.50-3.63, 2 Tb 3.51-3.52
Tb  0.5001  0.4593  0.1254  6 Tm 3.50-3.64, 4 Nd 3.50-3.63, 2 Tb 3.51-3.52
Tb  0.4999  0.5407  0.8746  6 Tm 3.50-3.64, 4 Nd 3.50-3.63, 2 Tb 3.51-3.52
Nd  0.2488  0.4558  0.6222  7 Tm 3.49-3.65, 4 Tb 3.50-3.63, 1 Nd 3.57
Nd  0.7512  0.5442  0.3778  7 Tm 3.49-3.65, 4 Tb 3.50-3.63, 1 Nd 3.57
Nd  0.2488  0.0442  0.8778  7 Tm 3.49-3.65, 4 Tb 3.50-3.63, 1 Nd 3.57
Nd  0.7512  0.9558  0.1222  7 Tm 3.49-3.65, 4 Tb 3.50-3.63, 1 Nd 3.57
Tm  0.7521  0.0413  0.8728  5 Tm 3.48-3.63, 4 Tb 3.50-3.64, 3 Nd 3.52-3.65
Tm  0.2479  0.9587  0.1272  5 Tm 3.48-3.63, 4 Tb 3.50-3.64, 3 Nd 3.52-3.65
Tm  0.7521  0.4587  0.6272  5 Tm 3.48-3.63, 4 Tb 3.50-3.64, 3 Nd 3.52-3.65
Tm  0.2479  0.5413  0.3728  5 Tm 3.48-3.63, 4 Tb 3.50-3.64, 3 Nd 3.52-3.65
Tm  0.0008  0.4597  0.1254  6 Tm 3.48-3.63, 4 Nd 3.49-3.62, 2 Tb 3.62-3.63
Tm  0.9992  0.5403  0.8746  6 Tm 3.48-3.63, 4 Nd 3.49-3.62, 2 Tb 3.62-3.63
Tm  0.0008  0.0403  0.3746  6 Tm 3.48-3.63, 4 Nd 3.49-3.62, 2 Tb 3.62-3.63
Tm  0.9992  0.9597  0.6254  6 Tm 3.48-3.63, 4 Nd 3.49-3.62, 2 Tb 3.62-3.63

* total magnetic moment: 0.000 μB per atom
* energy of formation: 0.012 eV per atom



(6)
TbNd4Tm3 | PBE | optimized geometry

Unit cell a=6.2927 b=7.3148 c=11.5242 alpha=90.00 beta=90.00 gamma=90.00
Closest atoms and distances in Å follow each position.
Fractional positions:
Tb  0.1498  0.3774  0.0000  6 Tm 3.54-3.62, 6 Nd 3.60-3.70
Tb  0.6498  0.6226  0.5000  6 Tm 3.54-3.62, 6 Nd 3.60-3.70
Nd  0.1402  0.8714  0.0000  4 Tm 3.56-3.69, 6 Nd 3.56-3.73, 2 Tb 3.61-3.70
Nd  0.6508  0.1305  0.0000  6 Nd 3.57-3.73, 4 Tm 3.57-3.75, 2 Tb 3.62-3.63
Nd  0.9826  0.1277  0.2537  5 Tm 3.55-3.71, 6 Nd 3.56-3.66, 1 Tb 3.60
Nd  0.4826  0.8723  0.2463  5 Tm 3.55-3.71, 6 Nd 3.56-3.66, 1 Tb 3.60
Nd  0.1508  0.8695  0.5000  6 Nd 3.57-3.73, 4 Tm 3.57-3.75, 2 Tb 3.62-3.63
Nd  0.6402  0.1286  0.5000  4 Tm 3.56-3.69, 6 Nd 3.56-3.73, 2 Tb 3.61-3.70
Nd  0.4826  0.8723  0.7537  5 Tm 3.55-3.71, 6 Nd 3.56-3.66, 1 Tb 3.60
Nd  0.9826  0.1277  0.7463  5 Tm 3.55-3.71, 6 Nd 3.56-3.66, 1 Tb 3.60
Tm  0.6470  0.6185  0.0000  4 Tm 3.53-3.56, 6 Nd 3.55-3.75, 2 Tb 3.59-3.62
Tm  0.9812  0.6198  0.2497  4 Tm 3.53-3.60, 2 Tb 3.54-3.56, 6 Nd 3.56-3.71
Tm  0.4812  0.3802  0.2503  4 Tm 3.53-3.60, 2 Tb 3.54-3.56, 6 Nd 3.56-3.71
Tm  0.1470  0.3815  0.5000  4 Tm 3.53-3.56, 6 Nd 3.55-3.75, 2 Tb 3.59-3.62
Tm  0.4812  0.3802  0.7497  4 Tm 3.53-3.60, 2 Tb 3.54-3.56, 6 Nd 3.56-3.71
Tm  0.9812  0.6198  0.7503  4 Tm 3.53-3.60, 2 Tb 3.54-3.56, 6 Nd 3.56-3.71

* total magnetic moment: 0.000 μB per atom
* energy of formation: 0.028 eV per atom



(7)
Tb2NdTm7 | PBE | optimized geometry

Unit cell a=5.4959 b=8.3724 c=8.3724 alpha=85.00 beta=70.86 gamma=70.86
Closest atoms and distances in Å follow each position.
Fractional positions:
Tb  0.5000  0.8389  0.1611  2 Nd 3.30, 4 Tm 3.39-3.45, 1 Tb 3.64
Tb  0.5000  0.1611  0.8389  2 Nd 3.30, 4 Tm 3.39-3.45, 1 Tb 3.64
Nd  0.0000  0.0000  0.0000  4 Tm 3.29, 4 Tb 3.30
Tm  0.0000  0.6638  0.3362  5 Tm 3.31-3.71, 2 Tb 3.39
Tm  0.0000  0.3362  0.6638  5 Tm 3.31-3.71, 2 Tb 3.39
Tm  0.7461  0.1022  0.4055  5 Tm 3.22-3.54, 1 Nd 3.29, 1 Tb 3.45
Tm  0.2539  0.8978  0.5945  5 Tm 3.22-3.54, 1 Nd 3.29, 1 Tb 3.45
Tm  0.7461  0.4055  0.1022  5 Tm 3.22-3.54, 1 Nd 3.29, 1 Tb 3.45
Tm  0.2539  0.5945  0.8978  5 Tm 3.22-3.54, 1 Nd 3.29, 1 Tb 3.45
Tm  0.5000  0.5000  0.5000  8 Tm 3.22-3.31

* total magnetic moment: 0.000 μB per atom
* energy of formation: 0.409 eV per atom



(8)
Tb8Nd6Tm | PBE | optimized geometry

Unit cell a=9.1515 b=9.1515 c=8.7424 alpha=58.44 beta=58.44 gamma=60.00
Closest atoms and distances in Å follow each position.
Fractional positions:
Tb  0.2505  0.2816  0.5801  3 Nd 3.39-3.74, 5 Tb 3.45-3.47, 1 Tm 3.55
Tb  0.7184  0.1122  0.4199  3 Nd 3.39-3.74, 5 Tb 3.45-3.47, 1 Tm 3.55
Tb  0.1122  0.7495  0.4199  3 Nd 3.39-3.74, 5 Tb 3.45-3.47, 1 Tm 3.55
Tb  0.5771  0.5771  0.2687  4 Tb 3.22-3.45, 3 Nd 3.45
Tb  0.4229  0.4229  0.7313  4 Tb 3.22-3.45, 3 Nd 3.45
Tb  0.8878  0.2505  0.5801  3 Nd 3.39-3.74, 5 Tb 3.45-3.47, 1 Tm 3.55
Tb  0.2816  0.8878  0.5801  3 Nd 3.39-3.74, 5 Tb 3.45-3.47, 1 Tm 3.55
Tb  0.7495  0.7184  0.4199  3 Nd 3.39-3.74, 5 Tb 3.45-3.47, 1 Tm 3.55
Nd  0.4614  0.8984  0.8705  4 Tb 3.39-3.74, 1 Tm 3.49, 2 Nd 3.56
Nd  0.1016  0.2304  0.1295  4 Tb 3.39-3.74, 1 Tm 3.49, 2 Nd 3.56
Nd  0.2304  0.5386  0.1295  4 Tb 3.39-3.74, 1 Tm 3.49, 2 Nd 3.56
Nd  0.7696  0.4614  0.8705  4 Tb 3.39-3.74, 1 Tm 3.49, 2 Nd 3.56
Nd  0.8984  0.7696  0.8705  4 Tb 3.39-3.74, 1 Tm 3.49, 2 Nd 3.56
Nd  0.5386  0.1016  0.1295  4 Tb 3.39-3.74, 1 Tm 3.49, 2 Nd 3.56
Tm  0.0000  0.0000  0.0000  6 Nd 3.49, 6 Tb 3.55

* total magnetic moment: 0.000 μB per atom
* energy of formation: 0.115 eV per atom